# 1
The following is a DFT calculation (GGA-PBE) of CsTh2Cl8 after structural relaxation.

Total moment, μB per formula unit: 1.2
Total energy, eV/atom: -4.83

a = 8.8020 Å, b = 13.2595 Å, c = 5.5781 Å
α = 90.00°, β = 98.77°, γ = 90.00°
Space group C2/m (No. 12)
Inequivalent atoms, fractional coordinates:
Cs1 0.0000 0.0000 0.0000 x2
Th1 0.0000 0.3211 0.5000 x4
Cl1 0.0000 0.2693 0.0000 x4
Cl2 0.0932 0.5000 0.7706 x4
Cl3 0.1893 0.1400 0.5627 x8

# 2
The following is a DFT calculation (GGA-PBE) of ZnNiOs2 after structural relaxation.

ΔH_f (0 K), eV/atom: 0.148
Total moment, μB per formula unit: 0.0
Total energy, eV/atom: -7.23

a = 8.8259 Å, b = 2.7063 Å, c = 4.5891 Å
α = 90.00°, β = 99.00°, γ = 90.00°
Space group Cm (No. 8)
Inequivalent atoms, fractional coordinates:
Zn1 0.0000 0.0000 0.0000 x2
Ni1 0.2494 0.0000 0.8055 x2
Os1 0.0029 0.5000 0.5049 x2
Os2 0.2576 0.5000 0.3081 x2

# 3
The following is a DFT calculation (GGA-PBE) of CdI3 after structural relaxation.

Total moment, μB per formula unit: 0.0
Total energy, eV/atom: -1.59

a = 4.0646 Å, b = 9.8679 Å, c = 8.0796 Å
α = 90.00°, β = 90.00°, γ = 90.00°
Space group Imm2 (No. 44)
Inequivalent atoms, fractional coordinates:
Cd1 0.0000 0.0000 0.0000 x2
I1 0.0000 0.3149 0.3360 x4
I2 0.0000 0.5000 0.7839 x2

# 4
The following is a DFT calculation (GGA-PBE) of Ba2CaSb after structural relaxation.

Total moment, μB per formula unit: 0.6
Total energy, eV/atom: -2.93

a = 4.9153 Å, b = 4.9153 Å, c = 32.4060 Å
α = 90.00°, β = 90.00°, γ = 120.00°
Space group R3m (No. 160, hexagonal axes)
Inequivalent atoms, fractional coordinates:
Ba1 0.0000 0.0000 0.0000 x3
Ba2 0.0000 0.0000 0.2162 x3
Ca1 0.0000 0.0000 0.4433 x3
Sb1 0.0000 0.0000 0.6076 x3

# 5
The following is a DFT calculation (GGA-PBE) of K8Na2Au after structural relaxation.

ΔH_f (0 K), eV/atom: -0.042
Total moment, μB per formula unit: 0.0
Total energy, eV/atom: -1.38

a = 22.9032 Å, b = 6.6137 Å, c = 8.6167 Å
α = 90.00°, β = 110.13°, γ = 90.00°
Space group C2/m (No. 12)
Inequivalent atoms, fractional coordinates:
K1 0.0131 0.0000 0.2906 x4
K2 0.0894 0.5000 0.9088 x4
K3 0.1400 0.5000 0.4547 x4
K4 0.2094 0.0000 0.7853 x4
Na1 0.1765 0.0000 0.2145 x4
Au1 0.0000 0.5000 0.5000 x2

# 6
The following is a DFT calculation (GGA-PBE) of La5Te2Pt after structural relaxation.

Total moment, μB per formula unit: 0.0
Total energy, eV/atom: -5.70

a = 8.4693 Å, b = 12.9538 Å, c = 4.6092 Å
α = 90.00°, β = 90.00°, γ = 90.00°
Space group Pbam (No. 55)
Inequivalent atoms, fractional coordinates:
La1 0.0000 0.0000 0.0000 x2
La2 0.1397 0.2955 0.0000 x4
La3 0.1962 0.5660 0.5000 x4
Te1 0.0782 0.8254 0.5000 x4
Pt1 0.0000 0.5000 0.0000 x2

# 7
The following is a DFT calculation (GGA-PBE) of CoRe2Rh after structural relaxation.

ΔH_f (0 K), eV/atom: 0.001
Total moment, μB per formula unit: 0.6
Distance to the lowest polymorph of the same formula, meV/atom: 91
Total energy, eV/atom: -9.84

a = 2.6765 Å, b = 3.8110 Å, c = 5.3698 Å
α = 90.00°, β = 90.00°, γ = 90.00°
Space group Pmmm (No. 47)
Inequivalent atoms, fractional coordinates:
Co1 0.0000 0.0000 0.0000 x1
Re1 0.5000 0.5000 0.2307 x2
Rh1 0.0000 0.0000 0.5000 x1

# 8
The following is a DFT calculation (GGA-PBE) of Mg2VOs after structural relaxation.

ΔH_f (0 K), eV/atom: 0.559
Total moment, μB per formula unit: 0.0
Distance to the lowest polymorph of the same formula, meV/atom: 83
Total energy, eV/atom: -5.33

a = 3.7138 Å, b = 3.7138 Å, c = 19.5348 Å
α = 90.00°, β = 90.00°, γ = 90.00°
Space group I-42d (No. 122)
Inequivalent atoms, fractional coordinates:
Mg1 0.2451 0.2500 0.1250 x8
V1 0.0000 0.0000 0.5000 x4
Os1 0.0000 0.0000 0.0000 x4